VASP calculation (GGA-PBE) on crystalline Pm3RhPb2 at its relaxed geometry.

Geometry as CIF:
```
data_Pm3RhPb2
_chemical_formula_sum 'Pm12 Rh4 Pb8'
_space_group_name_H-M_alt 'P n m a'
_space_group_IT_number 62
_cell_length_a 12.8387
_cell_length_b 4.4767
_cell_length_c 12.0676
_cell_angle_alpha 90.00
_cell_angle_beta 90.00
_cell_angle_gamma 90.00
loop_
_space_group_symop_operation_xyz
'x,y,z'
'-x,-y,-z'
'-x+1/2,-y,z+1/2'
'x+1/2,y,-z+1/2'
'x+1/2,-y+1/2,-z+1/2'
'-x+1/2,y+1/2,z+1/2'
'-x,y+1/2,-z'
'x,-y+1/2,z'
loop_
_atom_site_label
_atom_site_type_symbol
_atom_site_fract_x
_atom_site_fract_y
_atom_site_fract_z
Pm1 Pm 0.0520 0.2500 0.1316
Pm2 Pm 0.1207 0.7500 0.5424
Pm3 Pm 0.2434 0.2500 0.7904
Rh1 Rh 0.1285 0.2500 0.3674
Pb1 Pb 0.0052 0.2500 0.6923
Pb2 Pb 0.1858 0.7500 0.9997
```

Values from the calculation:
**Calculated density**: 9.12 g/cm³
**Final energy**: -5.4624 eV per atom
**M_tot**: 0.000 μB/f.u.
**Energy of formation**: -0.63 eV/atom
**E above lowest polymorph**: 0 meV/atom